## NiAu2Cl6 (PBE)

Data for a relaxed NiAu2Cl6 crystal.

Calculated values
Its raw formation energy is -0.23 eV per atom. Its total energy is -50.971 eV per cell. The mass density is 4.58 g/cm³.

a b c (Å): 8.753 8.753 6.451
angles (deg): 90.42 90.42 77.42
Sites, in units of the cell vectors:
Ni  0.076  0.924  0.750
Ni  0.924  0.076  0.250
Au  0.315  0.463  0.742
Au  0.463  0.315  0.242
Au  0.537  0.685  0.758
Au  0.685  0.537  0.258
Cl  0.028  0.156  0.912
Cl  0.110  0.676  0.626
Cl  0.156  0.028  0.412
Cl  0.244  0.491  0.116
Cl  0.324  0.890  0.874
Cl  0.491  0.244  0.616
Cl  0.509  0.756  0.384
Cl  0.676  0.110  0.126
Cl  0.756  0.509  0.884
Cl  0.844  0.972  0.588
Cl  0.890  0.324  0.374
Cl  0.972  0.844  0.088